# 1
Sn2Te2Au3 | the Alexandria database | PBE | optimized geometry; formation energy from raw total energies = -0.0801 eV per atom
1.0
6.596 -2.183 0.000
6.596 2.183 0.000
-4.032 0.000 6.408
Sn Te Au
2 2 3
direct
0.115 0.115 0.454
0.885 0.885 0.546
0.368 0.368 0.028
0.632 0.632 0.972
0.000 0.000 0.000
0.270 0.270 0.289
0.730 0.730 0.711

# 2
Sn2TeAu | the Alexandria database | PBE | optimized geometry; formation energy from raw total energies = -0.1205 eV per atom
1.0
4.219 0.000 0.000
-2.110 3.654 0.000
0.000 0.000 7.280
Sn Te Au
2 1 1
direct
0.333 0.667 0.285
0.667 0.333 0.715
0.000 0.000 0.000
0.000 0.000 0.500

# 3
SnTe2Au2 | the Alexandria database | PBE | optimized geometry; distance to the lowest polymorph of the same formula = 0.60 eV/f.u.; formation energy from raw total energies = 0.0313 eV per atom
1.0
-2.028 2.028 7.885
2.028 -2.028 7.885
2.028 2.028 -7.885
Sn Te Au
1 2 2
direct
0.000 0.000 0.000
0.388 0.388 0.000
0.612 0.612 0.000
0.250 0.750 0.500
0.750 0.250 0.500

# 4
SnTe3Au | the Alexandria database | PBE | optimized geometry; distance to the lowest polymorph of the same formula = 0.00 eV/f.u.; formation energy from raw total energies = -0.1093 eV per atom
1.0
4.203 0.000 0.000
1.877 6.185 0.000
1.957 1.233 13.290
Sn Te Au
2 6 2
direct
0.000 0.000 0.000
0.174 0.438 0.316
0.229 0.841 0.796
0.443 0.268 0.819
0.555 0.780 0.257
0.620 0.658 0.059
0.734 0.169 0.497
0.948 0.596 0.520
0.344 0.885 0.501
0.833 0.552 0.815

# 5
Sn2TeAu | the Alexandria database | PBE | optimized geometry; formation energy from raw total energies = -0.0631 eV per atom
1.0
-3.324 3.324 6.442
3.324 -3.324 6.442
3.324 3.324 -6.442
Sn Te Au
4 2 2
direct
0.084 0.625 0.959
0.375 0.334 0.459
0.666 0.125 0.041
0.875 0.916 0.541
0.250 0.750 0.500
0.500 0.500 0.000
0.000 0.000 0.000
0.750 0.250 0.500

# 6
Sn2TeAu | the Alexandria database | PBE | optimized geometry; formation energy from raw total energies = -0.0293 eV per atom
1.0
3.771 0.000 0.000
0.000 3.771 0.000
0.000 0.000 7.184
Sn Te Au
2 1 1
direct
0.000 0.000 0.227
0.000 0.000 0.773
0.500 0.500 0.500
0.500 0.500 0.000

Which value of formation energy from raw total energies does entry 6 give?
-0.0293 eV per atom

Repeat the fifth record exactly.
Sn2TeAu | the Alexandria database | PBE | optimized geometry; formation energy from raw total energies = -0.0631 eV per atom
1.0
-3.324 3.324 6.442
3.324 -3.324 6.442
3.324 3.324 -6.442
Sn Te Au
4 2 2
direct
0.084 0.625 0.959
0.375 0.334 0.459
0.666 0.125 0.041
0.875 0.916 0.541
0.250 0.750 0.500
0.500 0.500 0.000
0.000 0.000 0.000
0.750 0.250 0.500

Which value of formation energy from raw total energies does entry 4 give?
-0.1093 eV per atom